(1)
{"formula": "Mn2SbN", "functional": "PBE", "state": "optimized geometry", "lattice_angstrom": [[0.000, 3.046, 3.046], [3.046, 0.000, 3.046], [3.046, 3.046, 0.000]], "species": ["Mn", "Mn", "Sb", "N"], "frac_coords": [[0.250, 0.250, 0.250], [0.750, 0.750, 0.750], [0.000, 0.000, 0.000], [0.500, 0.500, 0.500]], "dos_at_fermi_per_ev_cell": 3.7, "polymorph_energy_ev_per_atom": 0.887, "sg": "No. 225", "magmom_total_mub_per_cell": 6.0}

---

(2)
{"formula": "Mn2SbN", "functional": "PBE", "state": "optimized geometry", "lattice_angstrom": [[-3.016, 3.016, 3.394], [3.016, -3.016, 3.394], [3.016, 3.016, -3.394]], "species": ["Mn", "Mn", "Mn", "Mn", "Sb", "Sb", "N", "N"], "frac_coords": [[0.375, 0.246, 0.371], [0.754, 0.125, 0.129], [0.875, 0.004, 0.629], [0.996, 0.625, 0.871], [0.250, 0.750, 0.500], [0.500, 0.500, 0.000], [0.000, 0.000, 0.000], [0.750, 0.250, 0.500]], "dos_at_fermi_per_ev_cell": 5.1, "polymorph_energy_ev_per_atom": 0.000, "sg": "No. 122", "magmom_total_mub_per_cell": 11.5}

---

(3)
{"formula": "Mn2SbN2", "functional": "PBE", "state": "optimized geometry", "lattice_angstrom": [[-1.669, 1.669, 5.648], [1.669, -1.669, 5.648], [1.669, 1.669, -5.648]], "species": ["Mn", "Mn", "Sb", "N", "N"], "frac_coords": [[0.167, 0.167, 0.000], [0.833, 0.833, 0.000], [0.500, 0.500, 0.000], [0.250, 0.750, 0.500], [0.750, 0.250, 0.500]], "dos_at_fermi_per_ev_cell": 2.8, "polymorph_energy_ev_per_atom": 0.000, "sg": "No. 139", "magmom_total_mub_per_cell": 2.5}

---

(4)
{"formula": "Mn4Sb2N", "functional": "PBE", "state": "optimized geometry", "lattice_angstrom": [[-1.954, 1.954, 6.646], [1.954, -1.954, 6.646], [1.954, 1.954, -6.646]], "species": ["Mn", "Mn", "Mn", "Mn", "Sb", "Sb", "N"], "frac_coords": [[0.000, 0.500, 0.500], [0.143, 0.143, 0.000], [0.500, 0.000, 0.500], [0.857, 0.857, 0.000], [0.346, 0.346, 0.000], [0.654, 0.654, 0.000], [0.000, 0.000, 0.000]], "dos_at_fermi_per_ev_cell": 4.3, "sg": "No. 139", "magmom_total_mub_per_cell": 7.7}

---

For the records above, the corresponding raw formation energy values read 890; 3; 276; -31 meV per atom.